Computed, not measured: a geometry-optimized BaMg9Ga3 structure at the PBE level of DFT.

Lattice parameters (Å, degrees): 7.784 7.784 7.679 97.72 97.72 136.36
Sites, in units of the cell vectors:
1 Ba 0.000 0.000 0.000
2 Mg 0.000 0.000 0.500
3 Mg 0.006 0.649 0.648
4 Mg 0.284 0.509 0.781
5 Mg 0.351 0.994 0.352
6 Mg 0.491 0.716 0.219
7 Mg 0.509 0.284 0.781
8 Mg 0.649 0.006 0.648
9 Mg 0.716 0.491 0.219
10 Mg 0.994 0.351 0.352
11 Ga 0.000 0.500 0.000
12 Ga 0.500 0.000 0.000
13 Ga 0.500 0.500 0.500

## Properties
Its uncorrected energy is -0.0772 Ha/atom. For the magnetic moment, the calculation gives 0.0 μB per cell. The value obtained for the volume is 299.4 Å³/cell.

***

Computed, not measured: a geometry-optimized Li2Zn2Hg structure at the PBE level of DFT.

Lattice parameters (Å, degrees): 7.294 7.294 3.169 90.00 90.00 90.00
Sites, in units of the cell vectors:
1 Li 0.155 0.345 0.000
2 Li 0.345 0.845 0.000
3 Li 0.655 0.155 0.000
4 Li 0.845 0.655 0.000
5 Zn 0.136 0.636 0.500
6 Zn 0.364 0.136 0.500
7 Zn 0.636 0.864 0.500
8 Zn 0.864 0.364 0.500
9 Hg 0.000 0.000 0.000
10 Hg 0.500 0.500 0.000

## Properties
Its uncorrected energy is -0.0522 Ha/atom. The value obtained for the excess energy over the best structure of this formula in the dataset is 0.133 eV/atom. For the magnetic moment, the calculation gives 0.0 μB per cell. The value obtained for the volume is 168.6 Å³/cell.

***

Computed, not measured: a geometry-optimized ThMnP2Rh5 structure at the PBE level of DFT.

Lattice parameters (Å, degrees): 4.125 4.125 10.834 90.00 90.00 90.00
Sites, in units of the cell vectors:
1 Th 0.000 0.000 0.000
2 Mn 0.500 0.500 0.500
3 P 0.500 0.500 0.288
4 P 0.500 0.500 0.712
5 Rh 0.000 0.500 0.200
6 Rh 0.000 0.500 0.800
7 Rh 0.500 0.000 0.200
8 Rh 0.500 0.000 0.800
9 Rh 0.500 0.500 0.000

## Properties
Its uncorrected energy is -0.2776 Ha/atom. For the magnetic moment, the calculation gives 4.7 μB per cell. The value obtained for the volume is 184.4 Å³/cell.

***

Computed, not measured: a geometry-optimized CuTc2Mo structure at the PBE level of DFT.

Lattice parameters (Å, degrees): 9.128 9.128 9.128 17.23 17.23 17.23
Sites, in units of the cell vectors:
1 Cu 0.000 0.000 0.000
2 Tc 0.496 0.496 0.496
3 Tc 0.750 0.750 0.750
4 Mo 0.250 0.250 0.250

## Properties
Its uncorrected energy is -0.3208 Ha/atom. The value obtained for the excess energy over the best structure of this formula in the dataset is 0.039 eV/atom. For the magnetic moment, the calculation gives 0.0 μB per cell. The value obtained for the volume is 58.2 Å³/cell.

***

Computed, not measured: a geometry-optimized Sm4GaTe2S structure at the PBE level of DFT.

Lattice parameters (Å, degrees): 7.372 4.228 7.630 90.00 108.68 90.00
Sites, in units of the cell vectors:
1 Sm 0.239 0.000 0.217
2 Sm 0.258 0.500 0.774
3 Sm 0.742 0.500 0.226
4 Sm 0.761 0.000 0.783
5 Ga 0.500 0.000 0.000
6 Te 0.000 0.000 0.500
7 Te 0.500 0.500 0.500
8 S 0.000 0.500 0.000

## Properties
Its uncorrected energy is -0.1988 Ha/atom. For the magnetic moment, the calculation gives 0.0 μB per cell. The uncorrected formation energy is -1.3703 eV/atom. The value obtained for the volume is 225.3 Å³/cell.

***

Computed, not measured: a geometry-optimized Ac2ZnPbO5 structure at the PBE level of DFT.

Lattice parameters (Å, degrees): 7.679 7.679 7.679 124.29 124.29 82.72
Sites, in units of the cell vectors:
1 Ac 0.174 0.674 0.848
2 Ac 0.326 0.174 0.500
3 Ac 0.674 0.826 0.500
4 Ac 0.826 0.326 0.152
5 Zn 0.250 0.750 0.500
6 Zn 0.750 0.250 0.500
7 Pb 0.250 0.250 0.000
8 Pb 0.750 0.750 0.000
9 O 0.000 0.000 0.000
10 O 0.009 0.219 0.500
11 O 0.219 0.719 0.210
12 O 0.281 0.491 0.500
13 O 0.491 0.991 0.210
14 O 0.500 0.500 0.000
15 O 0.509 0.009 0.790
16 O 0.719 0.509 0.500
17 O 0.781 0.281 0.790
18 O 0.991 0.781 0.500

## Properties
Its uncorrected energy is -0.2390 Ha/atom. For the magnetic moment, the calculation gives 0.0 μB per cell. The uncorrected formation energy is -2.2836 eV/atom. The value obtained for the volume is 296.7 Å³/cell.